meta-GGA SCAN ErNi5, single point on PBEsol structure; magnetic moment = 0.3376 μB per atom; total DFT energy (no corrections) = -133.2 eV per cell; energy of formation from the pure elements = -0.33 eV per atom
1.0
4.768 0.000 0.000
-2.384 4.130 0.000
0.000 0.000 3.900
Er Ni
1 5
Cartesian
0.000 0.000 0.000
-1.192 2.065 1.950
0.000 2.753 0.000
2.384 0.000 1.950
1.192 2.065 1.950
2.384 1.377 0.000

meta-GGA SCAN Er2Ni7, single point on PBEsol structure; magnetic moment = 0.2262 μB per atom; total DFT energy (no corrections) = -870.2 eV per cell; energy of formation from the pure elements = -0.41 eV per atom
1.0
4.824 0.000 0.000
-2.412 4.178 0.000
0.000 0.000 23.677
Er Ni
8 28
Cartesian
0.000 2.785 0.691
0.000 2.785 4.121
0.000 2.785 7.717
0.000 2.785 11.148
2.412 1.393 12.529
2.412 1.393 15.959
2.412 1.393 19.556
2.412 1.393 22.986
0.000 0.000 0.000
0.000 0.000 3.962
0.000 0.000 7.876
0.000 0.000 11.838
0.000 0.000 15.800
0.000 0.000 19.714
0.000 1.394 17.757
0.000 1.398 13.851
0.000 1.398 21.664
-1.202 3.479 13.851
-1.205 3.481 17.757
-1.202 3.479 21.664
0.000 2.785 15.795
0.000 2.785 19.720
1.207 0.697 5.919
1.210 0.699 2.012
1.210 0.699 9.826
1.202 3.479 13.851
1.202 3.479 21.664
1.205 3.481 17.757
2.412 1.393 3.957
2.412 1.393 7.881
3.614 0.699 2.012
3.617 0.697 5.919
3.614 0.699 9.826
2.412 2.780 2.012
2.412 2.780 9.826
2.412 2.784 5.919

meta-GGA SCAN Er6Ni20P13, single point on PBEsol structure; magnetic moment = 0.0000 μB per atom; total DFT energy (no corrections) = -798.5 eV per cell; energy of formation from the pure elements = -0.97 eV per atom
1.0
12.464 0.000 0.000
-6.232 10.794 0.000
0.000 0.000 3.682
Er Ni P
6 20 13
Cartesian
-0.580 2.112 0.000
-4.113 10.241 0.000
4.107 4.156 1.841
6.811 1.479 1.841
4.693 9.236 0.000
7.778 5.159 1.841
0.000 0.000 1.841
-2.484 4.576 0.000
-3.526 7.957 1.841
-1.435 6.415 1.841
-0.087 5.072 0.000
-1.796 8.333 0.000
1.104 3.762 1.841
2.467 2.472 0.000
3.786 1.099 1.841
1.394 6.344 1.841
-1.027 10.658 0.000
0.041 8.829 1.841
1.882 8.183 0.000
3.511 6.355 0.000
2.422 9.869 1.841
6.232 3.598 0.000
5.291 6.966 1.841
9.090 0.901 0.000
9.619 2.729 1.841
7.139 7.421 0.000
-3.221 6.662 0.000
-1.152 4.169 1.841
1.550 1.534 1.841
-2.045 9.707 1.841
0.000 7.196 0.000
2.073 4.673 0.000
4.690 2.058 0.000
1.148 10.253 0.000
3.197 7.712 1.841
5.669 5.703 0.000
8.336 3.033 0.000
10.361 0.575 1.841
6.785 8.685 1.841

meta-GGA SCAN Er5Ni2Sb, single point on PBEsol structure; magnetic moment = 0.0000 μB per atom; total DFT energy (no corrections) = -652.3 eV per cell; energy relative to the elements, uncorrected = -4.84 eV per formula unit
1.0
-3.717 3.717 6.523
3.717 -3.717 6.523
3.717 3.717 -6.523
Er Ni Sb
10 4 2
Cartesian
0.000 0.000 0.000
4.886 1.169 -1.782
1.169 2.547 -1.782
4.886 1.169 1.782
1.169 2.547 1.782
0.000 0.000 6.523
2.547 1.169 4.741
-1.169 2.547 4.741
2.547 1.169 8.305
-1.169 2.547 8.305
2.747 0.970 0.000
2.747 -0.970 6.523
0.970 4.686 0.000
0.970 2.747 6.523
0.000 0.000 3.262
0.000 0.000 9.785

What did the first record say?
meta-GGA SCAN ErNi5, single point on PBEsol structure; magnetic moment = 0.3376 μB per atom; total DFT energy (no corrections) = -133.2 eV per cell; energy of formation from the pure elements = -0.33 eV per atom
1.0
4.768 0.000 0.000
-2.384 4.130 0.000
0.000 0.000 3.900
Er Ni
1 5
Cartesian
0.000 0.000 0.000
-1.192 2.065 1.950
0.000 2.753 0.000
2.384 0.000 1.950
1.192 2.065 1.950
2.384 1.377 0.000

Question: Which formula does entry 4 have?
Answer: Er5Ni2Sb

Question: Which formula does entry 1 have?
Answer: ErNi5

Question: Which of these has the highest magnetic moment?
Answer: ErNi5